Entry from Alexandria: a relaxed Cs2LaGa2O6 crystal (GGA-PBE).

Lattice parameters (Å, degrees): 6.377 6.377 7.629 65.29 65.29 60.00
Atoms (fractional coordinates):
O 0.246 0.246 0.776
O 0.268 0.754 0.224
Cs 0.793 0.793 0.622
O 0.732 0.246 0.776
O 0.754 0.754 0.224
O 0.246 0.732 0.776
La 0.000 0.000 0.000
Ga 0.592 0.592 0.223
Ga 0.408 0.408 0.777
Cs 0.207 0.207 0.378
O 0.754 0.268 0.224

Summary:
The value obtained for the formation energy without anion corrections is -1886 meV/atom. As for the symmetry: R-3m. The value obtained for the density of states at the Fermi level is 0.976 states/eV/atom.

=====

Entry from Alexandria: a relaxed CsLaGa2Os crystal (GGA-PBE).

Lattice parameters (Å, degrees): 4.916 5.654 4.916 90.00 90.00 90.00
Atoms (fractional coordinates):
Cs 0.000 0.500 0.000
Os 0.000 0.000 0.000
La 0.500 0.500 0.500
Ga 0.000 0.000 0.500
Ga 0.500 0.000 0.000

Summary:
As for the symmetry: P4/mmm. Its formation energy is 2.64 eV per formula unit. The value obtained for the density of states at the Fermi level is 0.887 states/eV/atom.

=====

Entry from Alexandria: a relaxed CsLa2Ga2S6 crystal (GGA-PBE).

Lattice parameters (Å, degrees): 7.703 7.911 7.933 119.16 89.31 63.10
Atoms (fractional coordinates):
Ga 0.848 0.200 0.157
S 0.936 0.451 0.186
S 0.595 0.248 0.005
S 0.148 0.878 0.607
S 0.064 0.549 0.814
La 0.185 0.631 0.179
Ga 0.152 0.800 0.843
S 0.852 0.122 0.393
S 0.405 0.752 0.995
Cs 0.500 0.000 0.500
La 0.815 0.369 0.821

Summary:
The value obtained for the formation energy without anion corrections is -1315 meV/atom. As for the symmetry: P-1. The value obtained for the density of states at the Fermi level is 0.061 states/eV/atom.

=====

Entry from Alexandria: a relaxed Cs2LaGaTe4 crystal (GGA-PBE).

Lattice parameters (Å, degrees): 9.725 9.725 9.880 117.89 117.89 92.96
Atoms (fractional coordinates):
Cs 0.500 0.000 0.500
Te 0.711 0.686 0.504
Ga 0.000 0.000 0.000
La 0.000 0.500 0.500
La 0.000 0.500 0.000
Ga 0.500 0.500 0.500
Te 0.228 0.693 0.450
Te 0.186 0.211 0.004
Te 0.289 0.314 0.496
Cs 0.500 0.000 0.000
Te 0.772 0.307 0.550
Te 0.814 0.789 0.996
Cs 0.000 0.000 0.500
Cs 0.500 0.500 0.000
Te 0.807 0.272 0.050
Te 0.193 0.728 0.950

Summary:
The value obtained for the formation energy without anion corrections is -862 meV/atom. As for the symmetry: C2/c. The value obtained for the density of states at the Fermi level is 0.236 states/eV/atom.

=====

Entry from Alexandria: a relaxed CsLa2ZnGa crystal (GGA-PBE).

Lattice parameters (Å, degrees): 5.998 5.998 5.646 90.00 90.00 90.00
Atoms (fractional coordinates):
La 0.000 0.500 0.000
Cs 0.000 0.000 0.000
Ga 0.000 0.000 0.500
Zn 0.500 0.500 0.500
La 0.500 0.000 0.000

Summary:
As for the symmetry: P4/mmm. Its formation energy is 5.64 eV per formula unit. The value obtained for the density of states at the Fermi level is 1.118 states/eV/atom.

=====

Entry from Alexandria: a relaxed CsLi3Ga crystal (GGA-PBE).

Lattice parameters (Å, degrees): 5.374 5.374 5.374 90.00 90.00 90.00
Atoms (fractional coordinates):
Li 0.500 0.000 0.000
Li 0.000 0.000 0.500
Ga 0.000 0.000 0.000
Li 0.000 0.500 0.000
Cs 0.500 0.500 0.500

Summary:
As for the symmetry: Pm-3m. Its formation energy is 0.22 eV per formula unit. The value obtained for the density of states at the Fermi level is 0.698 states/eV/atom.